(1)
Material: Hf4U
Method: DFT, PBE
State: optimized geometry

abc: 5.0185 5.0185 5.0185
angles: 90.00 90.00 90.00
With the nearest neighbours (Å) after each atom.
Fractional positions:
1 Hf 0.5000 0.0000 0.5000  2 U 2.51
2 Hf 0.0000 0.5000 0.5000  2 U 2.51
3 Hf 0.5000 0.5000 0.0000  2 U 2.51
4 Hf 0.0000 0.0000 0.0000  12 Hf 3.55
5 U 0.5000 0.5000 0.5000  6 Hf 2.51

Computed properties:
Energy (eV per atom): -9.09
Formation energy (eV/atom): 1.128
N(E_F) (states/eV/atom): 1.139



(2)
Material: HfU2
Method: DFT, PBE
State: optimized geometry

abc: 5.6640 5.6640 5.6640
angles: 60.00 60.00 60.00
With the nearest neighbours (Å) after each atom.
Fractional positions:
1 U 0.6250 0.1250 0.6250  6 U 2.83
2 U 0.6250 0.6250 0.1250  6 U 2.83
3 U 0.1250 0.6250 0.6250  6 U 2.83
4 U 0.6250 0.6250 0.6250  6 U 2.83
5 Hf 0.0000 0.0000 0.0000  12 U 3.32, 4 Hf 3.47
6 Hf 0.2500 0.2500 0.2500  12 U 3.32, 4 Hf 3.47

Computed properties:
Energy (eV per atom): -10.58
Formation energy (eV/atom): 0.266
N(E_F) (states/eV/atom): 2.212



(3)
Material: Hf3U
Method: DFT, PBE
State: optimized geometry

abc: 3.0525 5.6264 6.1209
angles: 117.36 104.44 90.00
With the nearest neighbours (Å) after each atom.
Fractional positions:
1 Hf 0.5000 0.5271 0.0000  8 Hf 3.05-3.21, 4 U 3.17-3.23
2 Hf 0.7560 0.0650 0.5121  3 U 3.02-3.30, 9 Hf 3.05-3.21
3 Hf 0.2440 0.5529 0.4879  3 U 3.02-3.30, 9 Hf 3.05-3.21
4 U 0.0000 0.0216 0.0000  10 Hf 3.02-3.30, 2 U 3.05

Computed properties:
Energy (eV per atom): -10.09
Formation energy (eV/atom): 0.197
N(E_F) (states/eV/atom): 1.946



(4)
Material: HfUV2
Method: DFT, PBE
State: optimized geometry

abc: 4.6335 4.6335 4.6335
angles: 60.00 60.00 60.00
With the nearest neighbours (Å) after each atom.
Fractional positions:
1 Hf 0.5000 0.5000 0.5000  8 V 2.84
2 V 0.2500 0.2500 0.2500  4 U 2.84, 4 Hf 2.84
3 V 0.7500 0.7500 0.7500  4 Hf 2.84, 4 U 2.84
4 U 0.0000 0.0000 0.0000  8 V 2.84

Computed properties:
Energy (eV per atom): -9.64
Formation energy (eV/atom): 0.227
N(E_F) (states/eV/atom): 1.775



(5)
Material: HfUV2
Method: DFT, PBE
State: optimized geometry

abc: 3.2311 3.2311 6.6685
angles: 90.00 90.00 90.00
With the nearest neighbours (Å) after each atom.
Fractional positions:
1 V 0.0000 0.0000 0.7811  4 U 2.71, 1 V 2.92, 4 Hf 2.96
2 Hf 0.5000 0.5000 0.5000  8 V 2.96, 4 Hf 3.23
3 U 0.5000 0.5000 0.0000  8 V 2.71
4 V 0.0000 0.0000 0.2189  4 U 2.71, 1 V 2.92, 4 Hf 2.96

Computed properties:
Energy (eV per atom): -9.71
Formation energy (eV/atom): 0.159
N(E_F) (states/eV/atom): 1.170



(6)
Material: Hf2UW
Method: DFT, PBE
State: optimized geometry

abc: 2.9464 2.9464 11.3100
angles: 82.52 82.52 60.00
With the nearest neighbours (Å) after each atom.
Fractional positions:
1 Hf 0.9185 0.9185 0.2445  1 W 2.73, 6 Hf 2.95
2 U 0.5000 0.5000 0.5000  6 U 2.95
3 W 0.0000 0.0000 0.0000  2 Hf 2.73, 6 W 2.95
4 Hf 0.0815 0.0815 0.7555  1 W 2.73, 6 Hf 2.95

Computed properties:
Energy (eV per atom): -10.42
Formation energy (eV/atom): 0.615
N(E_F) (states/eV/atom): 1.880